[1]
Density functional theory data (PBE) for NaCoSCl2 after structural relaxation.

Lattice parameters (Å, degrees): 4.9412 4.9412 4.1908 90.00 90.00 90.00
Space group P4/mmm (No. 123)
Symmetry-distinct sites (fractional):
Na (0.0000, 0.0000, 0.0000) (multiplicity 1)
Co (0.5000, 0.5000, 0.5000) (multiplicity 1)
S (0.5000, 0.5000, 0.0000) (multiplicity 1)
Cl (0.0000, 0.5000, 0.5000) (multiplicity 2)

## Properties
DOS at the Fermi energy = 2.860 states/eV/f.u.
excess energy over the best structure of this formula in the dataset = 0 meV/atom
formation energy without anion corrections = -601 meV per atom
uncorrected energy = -0.1415 hartree per atom
density = 3.00 Mg/m³
V = 102 Å³ per cell

=====

[2]
Density functional theory data (PBE) for NaScCoCl6 after structural relaxation.

Lattice parameters (Å, degrees): 6.3883 6.3883 12.5364 90.00 90.00 120.00
Space group P-31c (No. 163)
Symmetry-distinct sites (fractional):
Na (0.0000, 0.0000, 0.0000) (multiplicity 2)
Sc (0.3333, 0.6667, 0.2500) (multiplicity 2)
Co (0.3333, 0.6667, 0.7500) (multiplicity 2)
Cl (0.0061, 0.3626, 0.6388) (multiplicity 12)

## Properties
DOS at the Fermi energy = 1.132 states/eV/f.u.
formation energy without anion corrections = -1510 meV per atom
uncorrected energy = -0.1610 hartree per atom
density = 2.55 Mg/m³
V = 443 Å³ per cell

=====

[3]
Density functional theory data (PBE) for NaCo2TcCl after structural relaxation.

Lattice parameters (Å, degrees): 4.2189 4.2189 4.4763 90.00 90.00 90.00
Space group P4/mmm (No. 123)
Symmetry-distinct sites (fractional):
Na (0.0000, 0.0000, 0.0000) (multiplicity 1)
Co (0.0000, 0.5000, 0.5000) (multiplicity 2)
Tc (0.5000, 0.5000, 0.0000) (multiplicity 1)
Cl (0.5000, 0.5000, 0.5000) (multiplicity 1)

## Properties
DOS at the Fermi energy = 6.329 states/eV/f.u.
formation energy without anion corrections = 977 meV per atom
uncorrected energy = -0.1680 hartree per atom
density = 5.72 Mg/m³
V = 80 Å³ per cell

=====

[4]
Density functional theory data (PBE) for NaTl3Co2Cl8 after structural relaxation.

Lattice parameters (Å, degrees): 7.2777 7.2777 9.0335 90.00 90.00 120.00
Space group P-3m1 (No. 164)
Symmetry-distinct sites (fractional):
Na (0.0000, 0.0000, 0.0000) (multiplicity 1)
Tl (0.0000, 0.0000, 0.5000) (multiplicity 1)
Tl (0.3333, 0.6667, 0.1356) (multiplicity 2)
Co (0.3333, 0.6667, 0.7081) (multiplicity 2)
Cl (0.1677, 0.3355, 0.8031) (multiplicity 6)
Cl (0.3333, 0.6667, 0.4628) (multiplicity 2)

## Properties
formation energy without anion corrections = -924 meV per atom
uncorrected energy = -0.1321 hartree per atom
density = 4.16 Mg/m³
V = 414 Å³ per cell

=====

[5]
Density functional theory data (PBE) for Na2TlCoCl6 after structural relaxation.

Lattice parameters (Å, degrees): 6.9121 6.9121 18.6555 90.00 90.00 120.00
Space group R3 (No. 146, hexagonal axes)
Symmetry-distinct sites (fractional):
Na (0.0000, 0.0000, 0.0000) (multiplicity 3)
Na (0.0000, 0.0000, 0.4773) (multiplicity 3)
Tl (0.0000, 0.0000, 0.1939) (multiplicity 3)
Co (0.0000, 0.0000, 0.6753) (multiplicity 3)
Cl (0.0045, 0.2756, 0.7450) (multiplicity 9)
Cl (0.0157, 0.7445, 0.6023) (multiplicity 9)

## Properties
formation energy without anion corrections = -1105 meV per atom
uncorrected energy = -0.1258 hartree per atom
density = 3.37 Mg/m³
V = 772 Å³ per cell

=====

[6]
Density functional theory data (PBE) for NaTl2CoCl6 after structural relaxation.

Lattice parameters (Å, degrees): 7.0917 10.0274 7.0908 90.00 90.00 90.00
Space group Pmmn (No. 59, origin choice 2)
Symmetry-distinct sites (fractional):
Na (0.2500, 0.2500, 0.2483) (multiplicity 2)
Tl (0.2500, 0.0000, 0.7492) (multiplicity 4)
Co (0.2500, 0.7500, 0.2511) (multiplicity 2)
Cl (0.0242, 0.7500, 0.0252) (multiplicity 4)
Cl (0.0240, 0.7500, 0.4771) (multiplicity 4)
Cl (0.2500, 0.5241, 0.2513) (multiplicity 4)

## Properties
formation energy without anion corrections = -962 meV per atom
uncorrected energy = -0.1244 hartree per atom
density = 4.63 Mg/m³
V = 504 Å³ per cell

=====

[7]
Density functional theory data (PBE) for NaTl3Co2Cl9 after structural relaxation.

Lattice parameters (Å, degrees): 7.0727 7.0727 9.0909 90.00 90.00 120.00
Space group P-3m1 (No. 164)
Symmetry-distinct sites (fractional):
Na (0.0000, 0.0000, 0.0000) (multiplicity 1)
Tl (0.0000, 0.0000, 0.5000) (multiplicity 1)
Tl (0.3333, 0.6667, 0.2175) (multiplicity 2)
Co (0.3333, 0.6667, 0.6775) (multiplicity 2)
Cl (0.0000, 0.5000, 0.5000) (multiplicity 3)
Cl (0.1724, 0.3448, 0.8055) (multiplicity 6)

## Properties
DOS at the Fermi energy = 15.000 states/eV/f.u.
formation energy without anion corrections = -847 meV per atom
uncorrected energy = -0.1273 hartree per atom
density = 4.52 Mg/m³
V = 394 Å³ per cell

=====

[8]
Density functional theory data (PBE) for NaTlCoCl4 after structural relaxation.

Lattice parameters (Å, degrees): 6.8320 7.0893 8.5473 90.00 107.16 90.00
Space group P2_1/m (No. 11)
Symmetry-distinct sites (fractional):
Na (0.2207, 0.2500, 0.0540) (multiplicity 2)
Tl (0.2544, 0.2500, 0.5651) (multiplicity 2)
Co (0.2351, 0.7500, 0.8245) (multiplicity 2)
Cl (0.0137, 0.5042, 0.7791) (multiplicity 4)
Cl (0.4282, 0.7500, 0.6514) (multiplicity 2)
Cl (0.4469, 0.7500, 0.0804) (multiplicity 2)

## Properties
formation energy without anion corrections = -1045 meV per atom
uncorrected energy = -0.1339 hartree per atom
density = 3.59 Mg/m³
V = 396 Å³ per cell

=====

Copy entry 7 word for word.
Density functional theory data (PBE) for NaTl3Co2Cl9 after structural relaxation.

Lattice parameters (Å, degrees): 7.0727 7.0727 9.0909 90.00 90.00 120.00
Space group P-3m1 (No. 164)
Symmetry-distinct sites (fractional):
Na (0.0000, 0.0000, 0.0000) (multiplicity 1)
Tl (0.0000, 0.0000, 0.5000) (multiplicity 1)
Tl (0.3333, 0.6667, 0.2175) (multiplicity 2)
Co (0.3333, 0.6667, 0.6775) (multiplicity 2)
Cl (0.0000, 0.5000, 0.5000) (multiplicity 3)
Cl (0.1724, 0.3448, 0.8055) (multiplicity 6)

## Properties
DOS at the Fermi energy = 15.000 states/eV/f.u.
formation energy without anion corrections = -847 meV per atom
uncorrected energy = -0.1273 hartree per atom
density = 4.52 Mg/m³
V = 394 Å³ per cell